Sc3BiC | PBE | optimized geometry

Lattice parameters (Å, degrees): 5.392 5.392 5.392 90.00 90.00 90.00
Space group Pm-3m (No. 221)
Unique sites:
Sc 0.000 0.000 0.500 (multiplicity 3)
Bi 0.000 0.000 0.000 (multiplicity 1)
C 0.500 0.500 0.500 (multiplicity 1)

Electronic total energy   -4.78 eV/atom
Energy relative to the elements   1640 meV/atom

ZnFeP2 | PBE | optimized geometry

Lattice parameters (Å, degrees): 6.013 6.013 6.013 90.00 90.00 90.00
Space group F-43m (No. 216)
Unique sites:
Zn 0.000 0.000 0.000 (multiplicity 4)
Fe 0.250 0.250 0.750 (multiplicity 4)
P 0.000 0.000 0.500 (multiplicity 4)
P 0.250 0.250 0.250 (multiplicity 4)

Electronic total energy   -4.60 eV/atom
Energy relative to the elements   538 meV/atom